Model A:
# Be2TlCu | Alexandria via LeMat-Bulk | GGA-PBE | relaxed
data_Be2TlCu
_symmetry_space_group_name_H-M 'P 1'
_symmetry_Int_Tables_number 1
_cell_length_a 3.8943
_cell_length_b 5.8253
_cell_length_c 6.1561
_cell_angle_alpha 141.97
_cell_angle_beta 126.59
_cell_angle_gamma 72.95
loop_
_symmetry_equiv_pos_as_xyz
'x,y,z'
loop_
_atom_site_label
_atom_site_type_symbol
_atom_site_fract_x
_atom_site_fract_y
_atom_site_fract_z
Be1 Be 0.0501 0.9550 0.1860
Be2 Be 0.7344 0.2690 0.5310
Tl1 Tl 0.3180 0.6686 0.4156
Cu1 Cu 0.3975 0.6076 0.8674
# SG	P1


Model B:
# Be2TlCu | Alexandria via LeMat-Bulk | GGA-PBE | relaxed
data_Be2TlCu
_symmetry_space_group_name_H-M 'P 1'
_symmetry_Int_Tables_number 1
_cell_length_a 4.2422
_cell_length_b 4.2422
_cell_length_c 4.2422
_cell_angle_alpha 60.00
_cell_angle_beta 60.00
_cell_angle_gamma 60.00
loop_
_symmetry_equiv_pos_as_xyz
'x,y,z'
loop_
_atom_site_label
_atom_site_type_symbol
_atom_site_fract_x
_atom_site_fract_y
_atom_site_fract_z
Be1 Be 0.2500 0.2500 0.2500
Be2 Be 0.7500 0.7500 0.7500
Tl1 Tl 0.5000 0.5000 0.5000
Cu1 Cu 0.0000 0.0000 0.0000
# SG	Fm-3m


Most favorable structure: model A. The second most favorable one is 273 meV/atom above it.


Model A:
# BeTl2Cu2 | Alexandria via LeMat-Bulk | GGA-PBE | relaxed
data_BeTl2Cu2
_symmetry_space_group_name_H-M 'P 1'
_symmetry_Int_Tables_number 1
_cell_length_a 7.0201
_cell_length_b 7.0201
_cell_length_c 3.8349
_cell_angle_alpha 90.00
_cell_angle_beta 90.00
_cell_angle_gamma 90.00
loop_
_symmetry_equiv_pos_as_xyz
'x,y,z'
loop_
_atom_site_label
_atom_site_type_symbol
_atom_site_fract_x
_atom_site_fract_y
_atom_site_fract_z
Be1 Be 0.0000 0.0000 0.0000
Be2 Be 0.5000 0.5000 0.0000
Tl1 Tl 0.3261 0.8261 0.0000
Tl2 Tl 0.8261 0.6739 0.0000
Tl3 Tl 0.6739 0.1739 0.0000
Tl4 Tl 0.1739 0.3261 0.0000
Cu1 Cu 0.1254 0.6254 0.5000
Cu2 Cu 0.6254 0.8746 0.5000
Cu3 Cu 0.8746 0.3746 0.5000
Cu4 Cu 0.3746 0.1254 0.5000
# SG	P4/mbm


Model B:
# BeTl2Cu2 | Alexandria via LeMat-Bulk | GGA-PBE | relaxed
data_BeTl2Cu2
_symmetry_space_group_name_H-M 'P 1'
_symmetry_Int_Tables_number 1
_cell_length_a 6.4582
_cell_length_b 6.4582
_cell_length_c 4.3147
_cell_angle_alpha 90.00
_cell_angle_beta 90.00
_cell_angle_gamma 90.00
loop_
_symmetry_equiv_pos_as_xyz
'x,y,z'
loop_
_atom_site_label
_atom_site_type_symbol
_atom_site_fract_x
_atom_site_fract_y
_atom_site_fract_z
Be1 Be 0.0000 0.0000 0.0000
Be2 Be 0.5000 0.5000 0.0000
Tl1 Tl 0.1721 0.6721 0.5000
Tl2 Tl 0.6721 0.8279 0.5000
Tl3 Tl 0.8279 0.3279 0.5000
Tl4 Tl 0.3279 0.1721 0.5000
Cu1 Cu 0.3528 0.8528 0.0000
Cu2 Cu 0.8528 0.6472 0.0000
Cu3 Cu 0.6472 0.1472 0.0000
Cu4 Cu 0.1472 0.3528 0.0000
# SG	P4/mbm


Model C:
# BeTl2Cu2 | Alexandria via LeMat-Bulk | GGA-PBE | relaxed
data_BeTl2Cu2
_symmetry_space_group_name_H-M 'P 1'
_symmetry_Int_Tables_number 1
_cell_length_a 3.4080
_cell_length_b 3.4080
_cell_length_c 8.3903
_cell_angle_alpha 78.28
_cell_angle_beta 78.28
_cell_angle_gamma 90.00
loop_
_symmetry_equiv_pos_as_xyz
'x,y,z'
loop_
_atom_site_label
_atom_site_type_symbol
_atom_site_fract_x
_atom_site_fract_y
_atom_site_fract_z
Be1 Be 0.0000 0.0000 0.0000
Tl1 Tl 0.3979 0.3979 0.2042
Tl2 Tl 0.6021 0.6021 0.7958
Cu1 Cu 0.7500 0.2500 0.5000
Cu2 Cu 0.2500 0.7500 0.5000
# SG	I4/mmm


Most favorable structure: model B. The second most favorable one is 67 meV/atom above it.


Model A:
# BeTl2Cu | Alexandria via LeMat-Bulk | GGA-PBE | relaxed
data_BeTl2Cu
_symmetry_space_group_name_H-M 'P 1'
_symmetry_Int_Tables_number 1
_cell_length_a 8.3981
_cell_length_b 8.3981
_cell_length_c 8.3981
_cell_angle_alpha 22.78
_cell_angle_beta 22.78
_cell_angle_gamma 22.78
loop_
_symmetry_equiv_pos_as_xyz
'x,y,z'
loop_
_atom_site_label
_atom_site_type_symbol
_atom_site_fract_x
_atom_site_fract_y
_atom_site_fract_z
Be1 Be 0.7500 0.7500 0.7500
Tl1 Tl 0.0024 0.0024 0.0024
Tl2 Tl 0.4976 0.4976 0.4976
Cu1 Cu 0.2500 0.2500 0.2500
# SG	R-3m


Model B:
# BeTl2Cu | Alexandria via LeMat-Bulk | GGA-PBE | relaxed
data_BeTl2Cu
_symmetry_space_group_name_H-M 'P 1'
_symmetry_Int_Tables_number 1
_cell_length_a 4.4289
_cell_length_b 4.4289
_cell_length_c 5.9844
_cell_angle_alpha 76.34
_cell_angle_beta 76.34
_cell_angle_gamma 44.29
loop_
_symmetry_equiv_pos_as_xyz
'x,y,z'
loop_
_atom_site_label
_atom_site_type_symbol
_atom_site_fract_x
_atom_site_fract_y
_atom_site_fract_z
Be1 Be 0.7500 0.7500 0.7500
Tl1 Tl 0.0044 0.0044 0.9921
Tl2 Tl 0.4956 0.4956 0.5079
Cu1 Cu 0.2500 0.2500 0.2500
# SG	C2/m


Model C:
# BeTl2Cu | Alexandria via LeMat-Bulk | GGA-PBE | relaxed
data_BeTl2Cu
_symmetry_space_group_name_H-M 'P 1'
_symmetry_Int_Tables_number 1
_cell_length_a 3.4169
_cell_length_b 3.4169
_cell_length_c 6.8865
_cell_angle_alpha 90.00
_cell_angle_beta 90.00
_cell_angle_gamma 102.02
loop_
_symmetry_equiv_pos_as_xyz
'x,y,z'
loop_
_atom_site_label
_atom_site_type_symbol
_atom_site_fract_x
_atom_site_fract_y
_atom_site_fract_z
Be1 Be 0.5000 0.5000 0.2500
Tl1 Tl 0.0000 0.0000 0.0068
Tl2 Tl 0.0000 0.0000 0.4932
Cu1 Cu 0.5000 0.5000 0.7500
# SG	Cmmm


Most favorable structure: model A. The second most favorable one is 23 meV/atom above it.


Model A:
# BeVCu | Alexandria via LeMat-Bulk | GGA-PBE | relaxed
data_BeVCu
_symmetry_space_group_name_H-M 'P 1'
_symmetry_Int_Tables_number 1
_cell_length_a 4.3336
_cell_length_b 2.4432
_cell_length_c 6.7070
_cell_angle_alpha 102.39
_cell_angle_beta 103.92
_cell_angle_gamma 89.95
loop_
_symmetry_equiv_pos_as_xyz
'x,y,z'
loop_
_atom_site_label
_atom_site_type_symbol
_atom_site_fract_x
_atom_site_fract_y
_atom_site_fract_z
Be1 Be 0.2079 0.6484 0.5270
Be2 Be 0.5743 0.4263 0.1015
Cu1 Cu 0.1369 0.3030 0.8166
Cu2 Cu 0.6452 0.7697 0.8119
V1 V 0.1108 0.0512 0.1886
V2 V 0.6715 0.0234 0.4399
# SG	P-1


Model B:
# BeVCu | Alexandria via LeMat-Bulk | GGA-PBE | relaxed
data_BeVCu
_symmetry_space_group_name_H-M 'P 1'
_symmetry_Int_Tables_number 1
_cell_length_a 3.7437
_cell_length_b 3.7437
_cell_length_c 3.7437
_cell_angle_alpha 60.00
_cell_angle_beta 60.00
_cell_angle_gamma 60.00
loop_
_symmetry_equiv_pos_as_xyz
'x,y,z'
loop_
_atom_site_label
_atom_site_type_symbol
_atom_site_fract_x
_atom_site_fract_y
_atom_site_fract_z
Be1 Be 0.0000 0.0000 0.0000
Cu1 Cu 0.7500 0.7500 0.7500
V1 V 0.2500 0.2500 0.2500
# SG	F-43m


Most favorable structure: model A. The second most favorable one is 426 meV/atom above it.


Model A:
# BeVCu | Alexandria via LeMat-Bulk | GGA-PBE | relaxed
data_BeVCu
_symmetry_space_group_name_H-M 'P 1'
_symmetry_Int_Tables_number 1
_cell_length_a 3.6331
_cell_length_b 3.1337
_cell_length_c 6.1757
_cell_angle_alpha 90.00
_cell_angle_beta 72.93
_cell_angle_gamma 90.00
loop_
_symmetry_equiv_pos_as_xyz
'x,y,z'
loop_
_atom_site_label
_atom_site_type_symbol
_atom_site_fract_x
_atom_site_fract_y
_atom_site_fract_z
Be1 Be 0.6571 0.0817 0.6542
Be2 Be 0.9968 0.0816 0.9743
Cu1 Cu 0.1508 0.5818 0.6661
Cu2 Cu 0.5029 0.5817 0.9624
V1 V 0.8268 0.5817 0.3143
V2 V 0.3267 0.0817 0.3142
# SG	Cmmm


Model B:
# BeVCu | Alexandria via LeMat-Bulk | GGA-PBE | relaxed
data_BeVCu
_symmetry_space_group_name_H-M 'P 1'
_symmetry_Int_Tables_number 1
_cell_length_a 5.4646
_cell_length_b 2.8143
_cell_length_c 4.8059
_cell_angle_alpha 107.07
_cell_angle_beta 94.25
_cell_angle_gamma 104.93
loop_
_symmetry_equiv_pos_as_xyz
'x,y,z'
loop_
_atom_site_label
_atom_site_type_symbol
_atom_site_fract_x
_atom_site_fract_y
_atom_site_fract_z
Be1 Be 0.0260 0.1608 0.7351
Be2 Be 0.6797 0.0668 0.8932
Cu1 Cu 0.4091 0.5132 0.0559
Cu2 Cu 0.2967 0.7146 0.5729
V1 V 0.7074 0.3622 0.4565
V2 V 0.9984 0.8655 0.1718
# SG	C2/m


Model C:
# BeVCu | Alexandria via LeMat-Bulk | GGA-PBE | relaxed
data_BeVCu
_symmetry_space_group_name_H-M 'P 1'
_symmetry_Int_Tables_number 1
_cell_length_a 3.9487
_cell_length_b 3.9487
_cell_length_c 5.6852
_cell_angle_alpha 69.68
_cell_angle_beta 69.68
_cell_angle_gamma 60.00
loop_
_symmetry_equiv_pos_as_xyz
'x,y,z'
loop_
_atom_site_label
_atom_site_type_symbol
_atom_site_fract_x
_atom_site_fract_y
_atom_site_fract_z
Cu1 Cu 0.2941 0.2941 0.1177
Cu2 Cu 0.7059 0.7059 0.8823
V1 V 0.1297 0.1297 0.6109
V2 V 0.8703 0.8703 0.3891
Be1 Be 0.4345 0.4345 0.6964
Be2 Be 0.5655 0.5655 0.3036
# SG	R-3m


Model D:
# BeVCu | Alexandria via LeMat-Bulk | GGA-PBE | relaxed
data_BeVCu
_symmetry_space_group_name_H-M 'P 1'
_symmetry_Int_Tables_number 1
_cell_length_a 4.3553
_cell_length_b 7.9194
_cell_length_c 2.4851
_cell_angle_alpha 75.11
_cell_angle_beta 124.82
_cell_angle_gamma 98.42
loop_
_symmetry_equiv_pos_as_xyz
'x,y,z'
loop_
_atom_site_label
_atom_site_type_symbol
_atom_site_fract_x
_atom_site_fract_y
_atom_site_fract_z
Be1 Be 0.4867 0.2890 0.4153
Be2 Be 0.9869 0.7889 0.9153
Cu1 Cu 0.9866 0.1321 0.5922
Cu2 Cu 0.9869 0.4459 0.2383
V1 V 0.4868 0.6304 0.0813
V2 V 0.4867 0.9474 0.7494
# SG	P2/m


Most favorable structure: model B. The second most favorable one is 12 meV/atom above it.


Model A:
# BeVCu | Alexandria via LeMat-Bulk | GGA-PBE | relaxed
data_BeVCu
_symmetry_space_group_name_H-M 'P 1'
_symmetry_Int_Tables_number 1
_cell_length_a 6.6828
_cell_length_b 4.8074
_cell_length_c 2.4371
_cell_angle_alpha 119.77
_cell_angle_beta 97.55
_cell_angle_gamma 91.56
loop_
_symmetry_equiv_pos_as_xyz
'x,y,z'
loop_
_atom_site_label
_atom_site_type_symbol
_atom_site_fract_x
_atom_site_fract_y
_atom_site_fract_z
Be1 Be 0.8608 0.2565 0.3949
Be2 Be 0.6352 0.8439 0.8301
Cu1 Cu 0.1554 0.2701 0.0237
Cu2 Cu 0.9266 0.7378 0.3584
V1 V 0.5351 0.3306 0.8635
V2 V 0.3076 0.7948 0.0448
# SG	P1


Model B:
# BeVCu | Alexandria via LeMat-Bulk | GGA-PBE | relaxed
data_BeVCu
_symmetry_space_group_name_H-M 'P 1'
_symmetry_Int_Tables_number 1
_cell_length_a 6.0356
_cell_length_b 3.1988
_cell_length_c 3.6049
_cell_angle_alpha 90.00
_cell_angle_beta 90.00
_cell_angle_gamma 74.62
loop_
_symmetry_equiv_pos_as_xyz
'x,y,z'
loop_
_atom_site_label
_atom_site_type_symbol
_atom_site_fract_x
_atom_site_fract_y
_atom_site_fract_z
Be1 Be 0.6956 0.9681 0.4171
Be2 Be 0.0102 0.8109 0.9171
Cu1 Cu 0.7040 0.4639 0.9171
Cu2 Cu 0.0018 0.3148 0.4171
V1 V 0.3439 0.1440 0.9171
V2 V 0.3619 0.6350 0.4171
# SG	Cmcm


Most favorable structure: model B. The second most favorable one is 5 meV/atom above it.


Model A:
# Be2VCu | Alexandria via LeMat-Bulk | GGA-PBE | relaxed
data_Be2VCu
_symmetry_space_group_name_H-M 'P 1'
_symmetry_Int_Tables_number 1
_cell_length_a 2.4586
_cell_length_b 2.4586
_cell_length_c 8.7233
_cell_angle_alpha 81.90
_cell_angle_beta 81.90
_cell_angle_gamma 60.00
loop_
_symmetry_equiv_pos_as_xyz
'x,y,z'
loop_
_atom_site_label
_atom_site_type_symbol
_atom_site_fract_x
_atom_site_fract_y
_atom_site_fract_z
Be1 Be 0.0931 0.0931 0.7206
Be2 Be 0.9069 0.9069 0.2794
Cu1 Cu 0.5000 0.5000 0.5000
V1 V 0.0000 0.0000 0.0000
# SG	R-3m


Model B:
# Be2VCu | Alexandria via LeMat-Bulk | GGA-PBE | relaxed
data_Be2VCu
_symmetry_space_group_name_H-M 'P 1'
_symmetry_Int_Tables_number 1
_cell_length_a 6.0823
_cell_length_b 6.0823
_cell_length_c 4.9478
_cell_angle_alpha 52.07
_cell_angle_beta 52.07
_cell_angle_gamma 90.00
loop_
_symmetry_equiv_pos_as_xyz
'x,y,z'
loop_
_atom_site_label
_atom_site_type_symbol
_atom_site_fract_x
_atom_site_fract_y
_atom_site_fract_z
Be1 Be 0.6464 0.1250 0.2500
Be2 Be 0.1036 0.6250 0.2500
Be3 Be 0.3750 0.3536 0.7500
Be4 Be 0.8750 0.8964 0.7500
Cu1 Cu 0.0000 0.0000 0.0000
Cu2 Cu 0.7500 0.2500 0.5000
V1 V 0.5000 0.5000 0.0000
V2 V 0.2500 0.7500 0.5000
# SG	I-42d


Model C:
# Be2VCu | Alexandria via LeMat-Bulk | GGA-PBE | relaxed
data_Be2VCu
_symmetry_space_group_name_H-M 'P 1'
_symmetry_Int_Tables_number 1
_cell_length_a 3.8831
_cell_length_b 3.8831
_cell_length_c 3.8831
_cell_angle_alpha 60.00
_cell_angle_beta 60.00
_cell_angle_gamma 60.00
loop_
_symmetry_equiv_pos_as_xyz
'x,y,z'
loop_
_atom_site_label
_atom_site_type_symbol
_atom_site_fract_x
_atom_site_fract_y
_atom_site_fract_z
Be1 Be 0.2500 0.2500 0.2500
Be2 Be 0.7500 0.7500 0.7500
Cu1 Cu 0.5000 0.5000 0.5000
V1 V 0.0000 0.0000 0.0000
# SG	Fm-3m


Model D:
# Be2VCu | Alexandria via LeMat-Bulk | GGA-PBE | relaxed
data_Be2VCu
_symmetry_space_group_name_H-M 'P 1'
_symmetry_Int_Tables_number 1
_cell_length_a 2.5574
_cell_length_b 2.5574
_cell_length_c 6.3250
_cell_angle_alpha 90.00
_cell_angle_beta 90.00
_cell_angle_gamma 90.00
loop_
_symmetry_equiv_pos_as_xyz
'x,y,z'
loop_
_atom_site_label
_atom_site_type_symbol
_atom_site_fract_x
_atom_site_fract_y
_atom_site_fract_z
Be1 Be 0.0000 0.0000 0.7712
Be2 Be 0.0000 0.0000 0.2288
Cu1 Cu 0.5000 0.5000 0.0000
V1 V 0.5000 0.5000 0.5000
# SG	P4/mmm


Most favorable structure: model D. The second most favorable one is 138 meV/atom above it.


Model A:
# BeVCu3 | Alexandria via LeMat-Bulk | GGA-PBE | relaxed
data_BeVCu3
_symmetry_space_group_name_H-M 'P 1'
_symmetry_Int_Tables_number 1
_cell_length_a 4.5057
_cell_length_b 4.5057
_cell_length_c 4.5057
_cell_angle_alpha 90.00
_cell_angle_beta 90.00
_cell_angle_gamma 90.00
loop_
_symmetry_equiv_pos_as_xyz
'x,y,z'
loop_
_atom_site_label
_atom_site_type_symbol
_atom_site_fract_x
_atom_site_fract_y
_atom_site_fract_z
Be1 Be 0.5000 0.5000 0.5000
Cu1 Cu 0.0000 0.5000 0.0000
Cu2 Cu 0.0000 0.0000 0.5000
Cu3 Cu 0.5000 0.0000 0.0000
V1 V 0.0000 0.0000 0.0000
# SG	Pm-3m


Model B:
# BeVCu3 | Alexandria via LeMat-Bulk | GGA-PBE | relaxed
data_BeVCu3
_symmetry_space_group_name_H-M 'P 1'
_symmetry_Int_Tables_number 1
_cell_length_a 4.0122
_cell_length_b 4.0122
_cell_length_c 4.0122
_cell_angle_alpha 90.00
_cell_angle_beta 90.00
_cell_angle_gamma 90.00
loop_
_symmetry_equiv_pos_as_xyz
'x,y,z'
loop_
_atom_site_label
_atom_site_type_symbol
_atom_site_fract_x
_atom_site_fract_y
_atom_site_fract_z
Be1 Be 0.0000 0.0000 0.0000
Cu1 Cu 0.0000 0.5000 0.0000
Cu2 Cu 0.0000 0.0000 0.5000
Cu3 Cu 0.5000 0.0000 0.0000
V1 V 0.5000 0.5000 0.5000
# SG	Pm-3m


Most favorable structure: model B. The second most favorable one is 1151 meV/atom above it.